## Ac2TmSi3Au4 (PBE-GGA)

Data for a relaxed structure of Ac2TmSi3Au4.

Unit cell a=4.451 b=4.451 c=11.423 alpha=90.00 beta=90.00 gamma=90.00
Atoms (fractional coordinates):
Ac 0.500 0.000 0.225
Ac 0.000 0.500 0.775
Tm 0.500 0.500 0.500
Si 0.000 0.000 0.500
Si 0.500 0.000 0.876
Si 0.000 0.500 0.124
Au 0.500 0.500 0.000
Au 0.000 0.000 0.000
Au 0.500 0.000 0.656
Au 0.000 0.500 0.344

Computed properties:
Raw total energy ... -4.85 eV/atom
Formation energy from raw total energies ... -641 meV per atom

## AcTmSi2Au2 (PBE-GGA)

Data for a relaxed structure of AcTmSi2Au2.

Unit cell a=4.376 b=4.376 c=8.151 alpha=90.00 beta=90.00 gamma=120.00
Atoms (fractional coordinates):
Ac 0.000 0.000 0.000
Tm 0.000 0.000 0.500
Si 0.667 0.333 0.268
Si 0.333 0.667 0.732
Au 0.667 0.333 0.712
Au 0.333 0.667 0.288

Computed properties:
Raw total energy ... -5.13 eV/atom
Formation energy from raw total energies ... -800 meV per atom

## Ac2USi3Au12 (PBE-GGA)

Data for a relaxed structure of Ac2USi3Au12.

Unit cell a=8.339 b=8.339 c=8.339 alpha=64.29 beta=64.29 gamma=64.29
Atoms (fractional coordinates):
Ac 0.601 0.601 0.601
Ac 0.399 0.399 0.399
U 0.000 0.000 0.000
Si 0.500 0.000 0.000
Si 0.000 0.500 0.000
Si 0.000 0.000 0.500
Au 0.313 0.313 0.859
Au 0.860 0.860 0.405
Au 0.405 0.860 0.860
Au 0.859 0.313 0.313
Au 0.860 0.405 0.860
Au 0.313 0.859 0.313
Au 0.687 0.687 0.141
Au 0.140 0.140 0.595
Au 0.595 0.140 0.140
Au 0.141 0.687 0.687
Au 0.140 0.595 0.140
Au 0.687 0.141 0.687

Computed properties:
Raw total energy ... -4.29 eV/atom
Formation energy from raw total energies ... -115 meV per atom

## Ac2Zn3Si4Au (PBE-GGA)

Data for a relaxed structure of Ac2Zn3Si4Au.

Unit cell a=4.455 b=4.455 c=10.216 alpha=90.00 beta=90.00 gamma=90.00
Atoms (fractional coordinates):
Ac 0.500 0.000 0.247
Ac 0.000 0.500 0.753
Zn 0.000 0.000 0.500
Zn 0.500 0.000 0.876
Zn 0.000 0.500 0.124
Si 0.500 0.500 0.000
Si 0.000 0.000 0.000
Si 0.500 0.000 0.634
Si 0.000 0.500 0.366
Au 0.500 0.500 0.500

Computed properties:
Raw total energy ... -4.12 eV/atom
Formation energy from raw total energies ... -423 meV per atom

## AcZn2SiAu (PBE-GGA)

Data for a relaxed structure of AcZn2SiAu.

Unit cell a=4.419 b=4.386 c=6.209 alpha=110.68 beta=110.84 gamma=90.00
Atoms (fractional coordinates):
Ac 0.442 0.442 0.884
Zn 0.693 0.193 0.385
Zn 0.057 0.057 0.113
Si 0.824 0.824 0.647
Au 0.197 0.697 0.395

Computed properties:
Raw total energy ... -3.58 eV/atom
Formation energy from raw total energies ... -504 meV per atom

## Ac2Zn3SiAu4 (PBE-GGA)

Data for a relaxed structure of Ac2Zn3SiAu4.

Unit cell a=4.564 b=4.564 c=10.476 alpha=90.00 beta=90.00 gamma=90.00
Atoms (fractional coordinates):
Ac 0.500 0.000 0.254
Ac 0.000 0.500 0.746
Zn 0.000 0.000 0.500
Zn 0.500 0.000 0.871
Zn 0.000 0.500 0.129
Si 0.500 0.500 0.500
Au 0.500 0.500 0.000
Au 0.000 0.000 0.000
Au 0.500 0.000 0.622
Au 0.000 0.500 0.378

Computed properties:
Raw total energy ... -3.61 eV/atom
Formation energy from raw total energies ... -557 meV per atom

## Ac2ZnSiAu6 (PBE-GGA)

Data for a relaxed structure of Ac2ZnSiAu6.

Unit cell a=6.978 b=6.978 c=6.978 alpha=60.00 beta=60.00 gamma=90.00
Atoms (fractional coordinates):
Ac 0.250 0.750 0.500
Ac 0.750 0.250 0.500
Zn 0.500 0.500 0.000
Si 0.000 0.000 0.000
Au 0.246 0.754 0.000
Au 0.754 0.754 0.000
Au 0.246 0.246 0.508
Au 0.754 0.246 0.000
Au 0.246 0.246 0.000
Au 0.754 0.754 0.492

Computed properties:
Raw total energy ... -3.92 eV/atom
Formation energy from raw total energies ... -463 meV per atom

## AcZnSi2Au5 (PBE-GGA)

Data for a relaxed structure of AcZnSi2Au5.

Unit cell a=4.580 b=4.580 c=9.493 alpha=90.00 beta=90.00 gamma=90.00
Atoms (fractional coordinates):
Ac 0.000 0.000 0.500
Zn 0.000 0.000 0.000
Si 0.500 0.500 0.250
Si 0.500 0.500 0.750
Au 0.000 0.500 0.159
Au 0.500 0.000 0.159
Au 0.000 0.500 0.841
Au 0.500 0.000 0.841
Au 0.500 0.500 0.500

Computed properties:
Raw total energy ... -3.92 eV/atom
Formation energy from raw total energies ... -300 meV per atom